P:
Crystalline Er3CdCo at its relaxed geometry, computed with PBE.

Unit cell a=5.4408 b=6.3586 c=8.6743 alpha=114.25 beta=83.25 gamma=115.64
Atoms (fractional coordinates):
Co  0.0449  0.3049  0.9866
Co  0.9551  0.6951  0.0134
Cd  0.4016  0.7668  0.5219
Cd  0.5984  0.2332  0.4781
Er  0.8699  0.6258  0.2989
Er  0.5284  0.2167  0.8935
Er  0.4716  0.7833  0.1065
Er  0.1342  0.1928  0.2316
Er  0.8658  0.8072  0.7684
Er  0.1301  0.3742  0.7011

=====

Q:
Crystalline Er3CdCo at its relaxed geometry, computed with PBE.

Unit cell a=5.1193 b=5.1193 c=5.1193 alpha=90.00 beta=90.00 gamma=90.00
Atoms (fractional coordinates):
Er  0.0000  0.5000  0.0000
Er  0.5000  0.0000  0.0000
Er  0.0000  0.0000  0.5000
Cd  0.5000  0.5000  0.5000
Co  0.0000  0.0000  0.0000

=====

Most stable to least stable: P, Q